VASP calculation (SCAN) on CrReAu2 at its PBEsol-relaxed geometry.

abc: 4.771 4.771 4.875
angles: 100.21 100.21 33.90
Fractional positions:
Cr: 0.000 0.000 0.000
Re: 0.265 0.265 0.786
Au: 0.510 0.510 0.523
Au: 0.751 0.751 0.267

Energy, eV/atom: -56.6832
E_form, meV per atom: 266
DOS at the Fermi energy, states/eV per atom: 0.556